No. 1
Rb4AgPb3F12 GGA-PBE optimized geometry; electronic total energy = -4.34 eV/atom
1.0
8.2289 0.0000 0.0000
-2.7430 7.7583 0.0000
-2.7430 -3.8791 6.7188
F Pb Rb Ag
12 3 4 1
Direct
0.7500 0.2500 0.5000
0.2486 0.0000 0.2486
0.7514 0.0000 0.7514
0.7514 0.7514 0.0000
0.5000 0.2500 0.7500
0.2500 0.7500 0.5000
0.0000 0.2486 0.2486
0.0000 0.7514 0.7514
0.2500 0.5000 0.7500
0.7500 0.5000 0.2500
0.2486 0.2486 0.0000
0.5000 0.7500 0.2500
0.5000 0.5000 0.0000
0.5000 0.0000 0.5000
0.0000 0.5000 0.5000
0.5000 0.0000 0.0000
0.0000 0.5000 0.0000
0.0000 0.0000 0.5000
0.5000 0.5000 0.5000
0.0000 0.0000 0.0000

***

No. 2
Rb4Ag3PbF12 GGA-PBE optimized geometry; electronic total energy = -3.95 eV/atom
1.0
7.8763 0.0000 0.0000
-2.6254 7.4259 0.0000
-2.6254 -3.7129 6.4310
Rb F Ag Pb
4 12 3 1
Direct
0.5000 0.5000 0.5000
0.0000 0.5000 0.0000
0.5000 0.0000 0.0000
0.0000 0.0000 0.5000
0.7500 0.5000 0.2500
0.5000 0.2500 0.7500
0.0000 0.2410 0.2410
0.5000 0.7500 0.2500
0.2500 0.5000 0.7500
0.2500 0.7500 0.5000
0.7500 0.2500 0.5000
0.0000 0.7590 0.7590
0.2410 0.2410 0.0000
0.7590 0.7590 0.0000
0.7590 0.0000 0.7590
0.2410 0.0000 0.2410
0.5000 0.0000 0.5000
0.0000 0.5000 0.5000
0.5000 0.5000 0.0000
0.0000 0.0000 0.0000

***

No. 3
RbAg2PbF8 GGA-PBE optimized geometry; electronic total energy = -3.82 eV/atom
1.0
-3.2471 2.5677 4.0507
-4.4625 -3.4096 -1.4159
5.7102 -3.7133 2.7906
Rb F Ag Pb
1 8 2 1
Direct
0.7500 0.2500 0.5000
0.3610 0.2698 0.1203
0.1494 0.6390 0.8797
0.0552 0.9846 0.7123
0.7593 0.8506 0.1203
0.6571 0.7277 0.7123
0.2723 0.9448 0.2878
0.0154 0.3429 0.2878
0.7302 0.2407 0.8797
0.5000 0.5000 0.0000
0.2500 0.7500 0.5000
0.0000 0.0000 0.0000

***

No. 4
Rb3AgPb2F9 GGA-PBE optimized geometry; electronic total energy = -4.29 eV/atom
1.0
6.6328 0.0000 0.0000
-3.3164 5.7441 0.0000
0.0000 0.0000 8.2286
F Ag Rb Pb
9 1 3 2
Direct
0.1661 0.3323 0.3382
0.5000 0.0000 0.0000
0.8339 0.6677 0.6618
0.3323 0.1661 0.6618
0.8339 0.1661 0.6618
0.1661 0.8339 0.3382
0.5000 0.5000 0.0000
0.6677 0.8339 0.3382
0.0000 0.5000 0.0000
0.0000 0.0000 0.5000
0.3333 0.6667 0.6451
0.0000 0.0000 0.0000
0.6667 0.3333 0.3549
0.3333 0.6667 0.1745
0.6667 0.3333 0.8255

***

No. 5
Ag2RhPbF8 GGA-PBE optimized geometry; electronic total energy = -4.22 eV/atom
1.0
4.5574 -0.2665 -0.0020
-0.2508 5.5597 -0.0058
0.0039 0.0081 7.4118
F Ag Rh Pb
8 2 1 1
Direct
0.1128 0.7904 0.2016
0.8872 0.2096 0.7984
0.5284 0.7479 0.5000
0.1128 0.7904 0.7984
0.8872 0.2096 0.2016
0.6352 0.7746 0.0000
0.3648 0.2254 0.0000
0.4716 0.2521 0.5000
0.5000 0.5000 0.2432
0.5000 0.5000 0.7568
0.0000 0.0000 0.0000
0.0000 0.0000 0.5000

***

No. 6
AgRuPbF6 GGA-PBE optimized geometry; electronic total energy = -4.68 eV/atom
1.0
6.1738 0.0000 0.0000
-3.0869 5.3466 0.0000
0.0000 0.0000 8.8893
Ag F Ru Pb
2 12 2 2
Direct
0.0000 0.0000 0.0000
0.0000 0.0000 0.5000
0.6123 0.9450 0.8719
0.3877 0.3327 0.3719
0.3327 0.3877 0.8719
0.6673 0.6123 0.1281
0.9450 0.3327 0.1281
0.3327 0.9450 0.6281
0.9450 0.6123 0.3719
0.3877 0.0550 0.1281
0.0550 0.6673 0.8719
0.6673 0.0550 0.3719
0.6123 0.6673 0.6281
0.0550 0.3877 0.6281
0.6667 0.3333 0.2500
0.3333 0.6667 0.7500
0.6667 0.3333 0.7500
0.3333 0.6667 0.2500

***

No. 7
ScAg2PbF8 GGA-PBE optimized geometry; electronic total energy = -4.90 eV/atom
1.0
4.9140 -0.1693 0.0029
-0.1407 5.5272 0.0983
0.0237 0.1507 7.2873
Ag F Sc Pb
2 8 1 1
Direct
0.4819 0.4940 0.7573
0.5181 0.5060 0.2427
0.6000 0.7231 0.5102
0.8434 0.1924 0.2049
0.1477 0.8004 0.2151
0.6740 0.7455 0.0034
0.3260 0.2545 0.9966
0.1566 0.8076 0.7951
0.8523 0.1996 0.7849
0.4000 0.2769 0.4898
0.0000 0.0000 0.0000
0.0000 0.0000 0.5000

***

No. 8
ScAgPbF6 GGA-PBE optimized geometry; electronic total energy = -5.45 eV/atom
1.0
5.9339 0.0000 0.0000
-2.9670 5.1389 0.0000
0.0000 0.0000 10.2167
F Pb Sc Ag
12 2 2 2
Direct
0.6254 0.6827 0.6365
0.0573 0.6827 0.8635
0.3746 0.0573 0.1365
0.6254 0.9427 0.8635
0.3746 0.3173 0.3635
0.3173 0.9427 0.6365
0.3173 0.3746 0.8635
0.0573 0.3746 0.6365
0.6827 0.6254 0.1365
0.9427 0.6254 0.3635
0.9427 0.3173 0.1365
0.6827 0.0573 0.3635
0.0000 0.0000 0.5000
0.0000 0.0000 0.0000
0.6667 0.3333 0.2500
0.3333 0.6667 0.7500
0.3333 0.6667 0.2500
0.6667 0.3333 0.7500

***

No. 9
Ag2SnPbF8 GGA-PBE optimized geometry; electronic total energy = -4.32 eV/atom
1.0
4.4677 -0.2617 -0.0018
-0.2429 5.7666 -0.0060
0.0038 0.0085 7.6872
Ag F Sn Pb
2 8 1 1
Direct
0.5000 0.5000 0.7468
0.5000 0.5000 0.2532
0.3815 0.2132 0.0000
0.8882 0.2035 0.7994
0.8882 0.2035 0.2005
0.4827 0.2419 0.5000
0.5173 0.7581 0.5000
0.1118 0.7965 0.2006
0.1118 0.7965 0.7995
0.6185 0.7868 0.0000
0.0000 0.0000 0.0000
0.0000 0.0000 0.5000

***

No. 10
SrAg2PbF6 GGA-PBE optimized geometry; electronic total energy = -4.47 eV/atom
1.0
6.2777 0.0000 -0.0092
0.0000 6.3845 0.0000
0.0404 0.0000 9.0702
F Sr Ag Pb
12 2 4 2
Direct
0.1693 0.1758 0.0758
0.8710 0.5999 0.2481
0.3710 0.9001 0.7481
0.6717 0.3279 0.9282
0.8307 0.8242 0.9242
0.8283 0.8279 0.5718
0.6693 0.3242 0.5758
0.1290 0.4001 0.7519
0.1717 0.1721 0.4282
0.3307 0.6758 0.4242
0.3283 0.6721 0.0718
0.6290 0.0999 0.2519
0.5000 0.0000 0.5000
0.0000 0.5000 0.0000
0.4926 0.4489 0.2478
0.0074 0.9489 0.2522
0.9926 0.0511 0.7478
0.5074 0.5511 0.7522
0.0000 0.5000 0.5000
0.5000 0.0000 0.0000

***

No. 11
TiAgPbF6 GGA-PBE optimized geometry; electronic total energy = -5.29 eV/atom
1.0
6.2270 0.0000 0.0000
-3.1135 5.3928 0.0000
0.0000 0.0000 8.6215
F Ag Pb Ti
12 2 2 2
Direct
0.3330 0.9400 0.6302
0.6670 0.6071 0.1302
0.3929 0.3330 0.3698
0.0600 0.6670 0.8698
0.6071 0.9400 0.8698
0.6071 0.6670 0.6302
0.3929 0.0600 0.1302
0.6670 0.0600 0.3698
0.9400 0.6071 0.3698
0.3330 0.3929 0.8698
0.9400 0.3330 0.1302
0.0600 0.3929 0.6302
0.0000 0.0000 0.5000
0.0000 0.0000 0.0000
0.3333 0.6667 0.2500
0.6667 0.3333 0.7500
0.6667 0.3333 0.2500
0.3333 0.6667 0.7500

***

No. 12
Tl2Ag2PbF6 GGA-PBE optimized geometry; electronic total energy = -3.92 eV/atom
1.0
-4.8421 -3.3162 -2.3398
6.2385 -3.2044 0.1616
-3.5151 0.9669 5.9039
F Ag Tl Pb
6 2 2 1
Direct
0.2833 0.5666 0.4097
0.7167 0.4334 0.5903
0.8401 0.1628 0.8222
0.3227 0.1628 0.8222
0.1599 0.8372 0.1778
0.6773 0.8372 0.1778
0.9235 0.8470 0.7486
0.0765 0.1530 0.2514
0.7376 0.4753 0.1841
0.2624 0.5247 0.8159
0.5000 0.0000 0.5000

***

No. 13
Tl2AgPbF6 GGA-PBE optimized geometry; electronic total energy = -4.03 eV/atom
1.0
-0.4757 6.0909 2.1764
-5.3589 -1.6445 3.1974
5.4587 -3.4066 0.9996
Tl F Pb Ag
2 6 1 1
Direct
0.7475 0.2654 0.5140
0.2502 0.7355 0.4834
0.2475 0.1704 0.9209
0.2979 0.3029 0.5022
0.2019 0.7042 0.9983
0.7022 0.6978 0.4974
0.7978 0.2966 0.0016
0.7544 0.8303 0.0806
0.4998 0.5004 0.9997
0.9999 0.0004 0.9998

***

No. 14
TmAgPbF6 GGA-PBE optimized geometry; electronic total energy = -5.32 eV/atom
1.0
-0.6407 4.8057 -2.4899
-3.5482 1.5204 3.8475
8.4266 4.2746 6.0818
F Pb Tm Ag
12 2 2 2
Direct
0.8144 0.1856 0.1914
0.1849 0.8151 0.4793
0.7803 0.2197 0.8267
0.8151 0.1849 0.4793
0.1856 0.8144 0.1914
0.2197 0.7803 0.8267
0.3151 0.3151 0.9793
0.6849 0.6849 0.9793
0.3144 0.3144 0.6914
0.6856 0.6856 0.6914
0.2803 0.2803 0.3267
0.7197 0.7197 0.3267
0.5000 0.5000 0.1703
0.0000 0.0000 0.6703
0.0000 0.0000 0.3352
0.5000 0.5000 0.8352
0.0000 0.0000 0.9999
0.5000 0.5000 0.4999

***

Going through the records in order, we get N(E_F) values of 0.30; 0.40; 0.72; 0.30; 0.77; 1.03; 0.18; 0.00; 0.00; 0.00; 0.56; 0.00; 0.20; 0.00 states/eV per atom.